A plane-wave DFT calculation with PBE was carried out for a geometry-optimized Li2Tb2NdTl2 structure.

Cell: 4.8858 4.8858 9.4307 Å, 74.99 74.99 60.00°
Sites, in units of the cell vectors:
Li (0.5979, 0.5979, 0.2063)
Li (0.4021, 0.4021, 0.7937)
Tb (0.1279, 0.1279, 0.6164)
Tb (0.8721, 0.8721, 0.3836)
Nd (0.0000, 0.0000, 0.0000)
Tl (0.7401, 0.7401, 0.7796)
Tl (0.2599, 0.2599, 0.2204)

- energy relative to the elements (meV per atom) = -190
- space-group type = R-3m
- energy (eV/f.u.) = -23.918
- size of the total moment (μB per formula unit) = 0.002

---

A plane-wave DFT calculation with PBE was carried out for a geometry-optimized LiTbNdY structure.

Cell: 5.5582 5.5582 5.5582 Å, 60.00 60.00 60.00°
Sites, in units of the cell vectors:
Y (0.7500, 0.7500, 0.7500)
Nd (0.2500, 0.2500, 0.2500)
Tb (0.5000, 0.5000, 0.5000)
Li (0.0000, 0.0000, 0.0000)

- energy relative to the elements (meV per atom) = 174
- space-group type = F-43m
- energy (eV/f.u.) = -17.080
- size of the total moment (μB per formula unit) = 0.000

---

Q: Which of these has the highest size of the total moment?
A: Li2Tb2NdTl2

---

Q: What is the energy relative to the elements in the first record?
A: -190 meV per atom

---

Q: Which of these has the lowest energy relative to the elements?
A: Li2Tb2NdTl2

---

Q: What is the energy in the first record?
A: -23.918 eV/f.u.